This record from Alexandria describes a PBEsol-optimized structure of MgMoSe2N. The functional is SCAN.

```
data_MgMoSe2N
_chemical_formula_sum 'Mg1 Mo1 Se2 N1'
_cell_length_a 5.040
_cell_length_b 5.040
_cell_length_c 3.751
_cell_angle_alpha 90.00
_cell_angle_beta 90.00
_cell_angle_gamma 90.00
_space_group_name_H-M_alt 'P 4/m m m'
_space_group_IT_number 123
_space_group_name_Hall '-P 4 2'
loop_
_atom_site_label
_atom_site_type_symbol
_atom_site_fract_x
_atom_site_fract_y
_atom_site_fract_z
Mg1 Mg 0.000 0.000 0.000
Mo1 Mo 0.500 0.500 0.500
Se1 Se 0.000 0.500 0.500
N1 N 0.500 0.500 0.000
```

Computed properties:
As for the uncorrected formation energy: -0.1953 eV/atom. For the calculated volume, the calculation gives 19.053 Å³/atom. For the total energy, the calculation gives -90.283 eV per cell.

This record from Alexandria describes a PBEsol-optimized structure of NaMg2SbMo. The functional is SCAN.

```
data_NaMg2SbMo
_chemical_formula_sum 'Na1 Mg2 Sb1 Mo1'
_cell_length_a 4.930
_cell_length_b 4.930
_cell_length_c 5.179
_cell_angle_alpha 90.00
_cell_angle_beta 90.00
_cell_angle_gamma 90.00
_space_group_name_H-M_alt 'P 4/m m m'
_space_group_IT_number 123
_space_group_name_Hall '-P 4 2'
loop_
_atom_site_label
_atom_site_type_symbol
_atom_site_fract_x
_atom_site_fract_y
_atom_site_fract_z
Na1 Na 0.000 0.000 0.000
Mg1 Mg 0.000 0.500 0.000
Sb1 Sb 0.000 0.000 0.500
Mo1 Mo 0.500 0.500 0.500
```

Computed properties:
As for the uncorrected formation energy: 1.2304 eV/atom. For the calculated volume, the calculation gives 25.170 Å³/atom. For the total energy, the calculation gives -80.156 eV per cell.

Number 1: M_tot 0.8 μB/cell. Number 2: M_tot 3.9 μB/cell.